Compound: LiAl4Ir2
Source: Alexandria via LeMat-Bulk
Functional: PBE
Structure: optimized geometry

abc: 4.2518 4.2518 20.3826
angles: 90.00 90.00 120.00
Space group R-3m (No. 166, hexagonal axes)
Inequivalent atoms, fractional coordinates:
Li1 0.0000 0.0000 0.0000 (multiplicity 3)
Al1 0.0000 0.0000 0.1303 (multiplicity 6)
Al2 0.0000 0.0000 0.3854 (multiplicity 6)
Ir1 0.0000 0.0000 0.2540 (multiplicity 6)

Compound: LiAlIr2
Source: Alexandria via LeMat-Bulk
Functional: PBE
Structure: optimized geometry

abc: 2.7399 2.7399 8.0220
angles: 90.00 90.00 90.00
Space group P4mm (No. 99)
Inequivalent atoms, fractional coordinates:
Li1 0.0000 0.0000 0.0000 (multiplicity 1)
Al1 0.5000 0.5000 0.2897 (multiplicity 1)
Ir1 0.0000 0.0000 0.5147 (multiplicity 1)
Ir2 0.5000 0.5000 0.7514 (multiplicity 1)

Compound: LiAlIr3
Source: Alexandria via LeMat-Bulk
Functional: PBE
Structure: optimized geometry

abc: 4.4934 4.4934 4.4934
angles: 90.00 90.00 90.00
Space group Pm-3m (No. 221)
Inequivalent atoms, fractional coordinates:
Li1 0.0000 0.0000 0.0000 (multiplicity 1)
Al1 0.5000 0.5000 0.5000 (multiplicity 1)
Ir1 0.0000 0.5000 0.5000 (multiplicity 3)

Output
- excess energy over the best structure of this formula in the dataset (eV/atom) = 0.332

Compound: Li2AlIr2
Source: Alexandria via LeMat-Bulk
Functional: PBE
Structure: optimized geometry

abc: 6.3047 6.3047 3.0726
angles: 90.00 90.00 90.00
Space group P4/mbm (No. 127)
Inequivalent atoms, fractional coordinates:
Li1 0.1070 0.3930 0.0000 (multiplicity 4)
Al1 0.0000 0.0000 0.0000 (multiplicity 2)
Ir1 0.1967 0.6967 0.5000 (multiplicity 4)

Output
- excess energy over the best structure of this formula in the dataset (eV/atom) = 0.000

Compound: LiAlIr2
Source: Alexandria via LeMat-Bulk
Functional: PBE
Structure: optimized geometry

abc: 2.9802 2.9802 5.9475
angles: 90.00 90.00 90.00
Space group P4mm (No. 99)
Inequivalent atoms, fractional coordinates:
Li1 0.0000 0.0000 0.0000 (multiplicity 1)
Al1 0.5000 0.5000 0.2328 (multiplicity 1)
Ir1 0.0000 0.0000 0.4785 (multiplicity 1)
Ir2 0.5000 0.5000 0.7871 (multiplicity 1)

Compound: LiAl5Ir
Source: Alexandria via LeMat-Bulk
Functional: PBE
Structure: optimized geometry

abc: 4.2618 4.2618 6.3612
angles: 90.00 90.00 90.00
Space group P4/mmm (No. 123)
Inequivalent atoms, fractional coordinates:
Li1 0.0000 0.0000 0.0000 (multiplicity 1)
Al1 0.0000 0.5000 0.2848 (multiplicity 4)
Al2 0.5000 0.5000 0.0000 (multiplicity 1)
Ir1 0.0000 0.0000 0.5000 (multiplicity 1)

| no. | calculated formation energy (meV per atom) | calculated total energy (eV per atom) |
| --- | --- | --- |
| 1 | -751 | -5.6951 |
| 2 | -169 | -6.0134 |
| 3 | 891 | -5.5569 |
| 4 | -174 | -5.2328 |
| 5 | -287 | -6.1319 |
| 6 | -430 | -4.6428 |